VASP calculation (PBE-GGA) on a relaxed structure of K2Sn4PbAu3.

It has space group P-4m2 (No. 115), with a = 4.920 Å, b = 4.920 Å, c = 11.732 Å, α = 90.00°, β = 90.00° and γ = 90.00°. The asymmetric unit holds K at (0.000, 0.500, 0.247), Sn at (0.000, 0.000, 0.000), Sn at (0.000, 0.500, 0.645), Sn at (0.500, 0.500, 0.000), Pb at (0.000, 0.000, 0.500), Au at (0.000, 0.500, 0.878) and Au at (0.500, 0.500, 0.500).

As for the formation energy from the elements: -2.5 eV/f.u. The value obtained for the total moment is 0.0 μB/f.u.

***

VASP calculation (PBE-GGA) on a relaxed structure of Rb2SnBiBr6.

It has space group I4/mmm (No. 139), with a = 8.319 Å, b = 8.319 Å, c = 11.812 Å, α = 90.00°, β = 90.00° and γ = 90.00°. The asymmetric unit holds Rb at (0.000, 0.500, 0.250), Sn at (0.000, 0.000, 0.000), Bi at (0.000, 0.000, 0.500), Br at (0.000, 0.000, 0.250) and Br at (0.250, 0.250, 0.000).

For the uncorrected formation energy, the calculation gives -1051 meV/atom. The value obtained for the total moment is 0.0 μB/f.u.

***

VASP calculation (PBE-GGA) on a relaxed structure of LiLaAsBr2.

It has space group P4/mmm (No. 123), with a = 4.781 Å, b = 4.781 Å, c = 5.457 Å, α = 90.00°, β = 90.00° and γ = 90.00°. The asymmetric unit holds Li at (0.000, 0.000, 0.000), La at (0.500, 0.500, 0.500), As at (0.000, 0.000, 0.500) and Br at (0.000, 0.500, 0.000).

For the uncorrected formation energy, the calculation gives -996 meV/atom. The value obtained for the total moment is 1.0 μB/f.u.

***

VASP calculation (PBE-GGA) on a relaxed structure of ZrTl2Cu.

It has space group P2/m (No. 10), with a = 3.238 Å, b = 4.451 Å, c = 6.095 Å, α = 90.00°, β = 98.27° and γ = 90.00°. The asymmetric unit holds Zr at (0.000, 0.000, 0.000), Tl at (0.361, 0.500, 0.739) and Cu at (0.500, 0.000, 0.500).

As for the formation energy from the elements: 0.7 eV/f.u. The value obtained for the total moment is 0.0 μB/f.u.

***

VASP calculation (PBE-GGA) on a relaxed structure of K3IrO4.

It has space group Pmn2_1 (No. 31), with a = 9.018 Å, b = 6.236 Å, c = 5.639 Å, α = 90.00°, β = 90.00° and γ = 90.00°. The asymmetric unit holds K at (0.000, 0.175, 0.000), K at (0.240, 0.300, 0.460), Ir at (0.000, 0.776, 0.432), O at (0.000, 0.049, 0.565), O at (0.000, 0.522, 0.252) and O at (0.208, 0.763, 0.448).

For the uncorrected formation energy, the calculation gives -1205 meV/atom. The value obtained for the total moment is 2.0 μB/f.u.

***

VASP calculation (PBE-GGA) on a relaxed structure of Tb2PrNdDy2.

It has space group Pnnm (No. 58), with a = 6.627 Å, b = 17.958 Å, c = 3.416 Å, α = 90.00°, β = 90.00° and γ = 90.00°. The asymmetric unit holds Tb at (0.226, 0.185, 0.000), Pr at (0.000, 0.000, 0.000), Nd at (0.000, 0.500, 0.000) and Dy at (0.224, 0.350, 0.500).

As for the formation energy from the elements: 1.6 eV/f.u. The value obtained for the total moment is 0.0 μB/f.u.